Re2BiCl | PBE | optimized geometry

```
Re2BiCl
1.0
-0.651 -3.739 -2.678
1.099 -4.221 1.598
-3.358 -3.039 1.032
Re Bi Cl
2 1 1
direct
0.250 0.250 0.250
0.750 0.750 0.750
0.500 0.500 0.500
0.000 0.000 0.000
```

Output
**E_form (uncorrected)**: 1.50 eV per atom
**Total magnetic moment**: 0.000 μB per formula unit
**SG**: Fm-3m
**Mass density**: 14.46 g/cm3
**N(E_F)**: 5.8 states/eV per cell

PmPr7Sm3 | PBE | optimized geometry

```
PmPr7Sm3
1.0
-0.070 5.970 -0.863
0.315 -4.139 -7.627
-8.106 -3.109 0.177
Pr Sm Pm
7 3 1
direct
0.302 0.597 0.006
0.302 0.006 0.597
0.698 0.994 0.403
0.209 0.209 0.209
0.000 0.500 0.500
0.698 0.403 0.994
0.791 0.791 0.791
0.000 0.794 0.206
0.000 0.206 0.794
0.500 0.000 0.000
0.500 0.500 0.500
```

Output
**Total magnetic moment**: 0.001 μB per formula unit
**SG**: C2/m
**ΔE_f**: 0.21 eV/atom
**Mass density**: 6.57 g/cm3
**N(E_F)**: 16.4 states/eV per cell